Entry from Alexandria via LeMat-Bulk: an optimized crystal structure of BaGaBr4Cl (PBE).

Cell lengths 12.3653, 10.5807, 9.5194 Å; angles 90.00, 105.63, 90.00 degrees
Closest atoms and distances in Å follow each position.
Space group C2/m (No. 12)
Inequivalent atoms, fractional coordinates:
Ba  0.1940  0.0000  0.1059 x4  2 Cl 2.95-2.96
Ga  0.1525  0.5000  0.2729 x4  4 Br 2.32-2.41
Br  0.0308  0.5000  0.7011 x4  1 Ga 2.35
Br  0.1751  0.3266  0.1188 x8  1 Ga 2.41
Br  0.2089  0.0000  0.5067 x4  1 Ga 2.32
Cl  0.0236  0.0000  0.8205 x4  2 Ba 2.95-2.96

As for the raw total energy: -3.36 eV per atom. The value obtained for the density of states at the Fermi level is 0.000 states/eV per atom. The uncorrected formation energy comes out at -1429 meV/atom.